This record from the Open Quantum Materials Database describes a geometry-optimized LaDyZr structure. The functional is PBE-GGA.

- energy of formation from the pure elements (eV/atom) = 0.96

Cell: 5.174 5.174 5.174 Å, 60.00 60.00 60.00°
Element x y z (fractional)
La: 0.000 0.000 0.000
Dy: 0.750 0.750 0.750
Zr: 0.250 0.250 0.250

=====

This record from the Open Quantum Materials Database describes a geometry-optimized LiDy2 structure. The functional is PBE-GGA.

- energy relative to the lowest polymorph listed for this composition (eV/atom) = 0.0000

Cell: 6.464 6.464 6.464 Å, 60.00 60.00 60.00°
Element x y z (fractional)
Li: 0.125 0.125 0.125
Li: 0.875 0.875 0.875
Dy: 0.000 0.500 0.500
Dy: 0.500 0.000 0.500
Dy: 0.500 0.500 0.000
Dy: 0.500 0.500 0.500

=====

no.,magnetic moment (μB per cell),total DFT energy (no corrections) (eV per cell)
1,2.06,-15.20
2,0.03,-19.51